Record 1
Crystalline SbTe2Os at its relaxed geometry. Source: the Alexandria database, functional PBE-GGA.

## Properties
Raw formation energy ... 398 meV/atom
Density of states at the Fermi level ... 0.75 states/eV/atom
M_tot ... 0.000 μB/atom
Uncorrected energy ... -0.1842 hartree per atom

Geometry as CIF:
```
data_SbTe2Os
_chemical_formula_sum 'Sb1 Te2 Os1'
_cell_length_a 6.8064
_cell_length_b 6.8064
_cell_length_c 6.8064
_cell_angle_alpha 151.57
_cell_angle_beta 137.59
_cell_angle_gamma 51.85
_space_group_name_H-M_alt 'P 1'
_space_group_IT_number 1
loop_
_space_group_symop_operation_xyz
'x,y,z'
loop_
_atom_site_label
_atom_site_fract_x
_atom_site_fract_y
_atom_site_fract_z
_atom_site_occupancy
Sb1 0.7500 0.2500 0.5000 1
Os1 0.2500 0.7500 0.5000 1
Te1 0.4256 0.4256 0.0000 1
Te2 0.0744 0.0744 0.0000 1
```



Record 2
Crystalline HoPPb at its relaxed geometry. Source: the Alexandria database, functional PBE-GGA.

## Properties
Energy of formation from the pure elements ... -179 kJ/mol of formula units
Density of states at the Fermi level ... 0.73 states/eV/atom
M_tot ... 0.000 μB/atom
Uncorrected energy ... -0.1905 hartree per atom

Geometry as CIF:
```
data_HoPPb
_chemical_formula_sum 'Ho2 P2 Pb2'
_cell_length_a 4.7098
_cell_length_b 4.7098
_cell_length_c 9.3227
_cell_angle_alpha 75.37
_cell_angle_beta 75.37
_cell_angle_gamma 60.00
_space_group_name_H-M_alt 'P 1'
_space_group_IT_number 1
loop_
_space_group_symop_operation_xyz
'x,y,z'
loop_
_atom_site_label
_atom_site_fract_x
_atom_site_fract_y
_atom_site_fract_z
_atom_site_occupancy
P1 0.8826 0.8826 0.3521 1
P2 0.1174 0.1174 0.6479 1
Pb1 0.3613 0.3613 0.9161 1
Pb2 0.6387 0.6387 0.0839 1
Ho1 0.2194 0.2194 0.3417 1
Ho2 0.7806 0.7806 0.6583 1
```



Record 3
Crystalline K4HoTh3Te8 at its relaxed geometry. Source: the Alexandria database, functional PBE-GGA.

## Properties
Raw formation energy ... -1220 meV/atom
Density of states at the Fermi level ... 0.64 states/eV/atom
M_tot ... 0.000 μB/atom
Uncorrected energy ... -0.1743 hartree per atom

Geometry as CIF:
```
data_K4HoTh3Te8
_chemical_formula_sum 'K4 Ho1 Th3 Te8'
_cell_length_a 8.9372
_cell_length_b 9.8987
_cell_length_c 8.9374
_cell_angle_alpha 116.86
_cell_angle_beta 120.00
_cell_angle_gamma 90.00
_space_group_name_H-M_alt 'P 1'
_space_group_IT_number 1
loop_
_space_group_symop_operation_xyz
'x,y,z'
loop_
_atom_site_label
_atom_site_fract_x
_atom_site_fract_y
_atom_site_fract_z
_atom_site_occupancy
Te1 0.7454 0.7161 0.9809 1
Te2 0.2355 0.7161 0.9809 1
Te3 0.2591 0.2776 0.5182 1
Te4 0.7645 0.2839 0.0191 1
Te5 0.7409 0.7224 0.4818 1
Te6 0.2355 0.7161 0.4710 1
Te7 0.2546 0.2839 0.0191 1
Te8 0.7645 0.2839 0.5290 1
K1 0.0000 0.0000 0.0000 1
K2 0.5000 0.0000 0.0000 1
K3 0.5000 0.0000 0.5000 1
K4 0.0000 0.0000 0.5000 1
Ho1 0.0000 0.5000 0.0000 1
Th1 0.0000 0.5000 0.5000 1
Th2 0.5000 0.5000 0.0000 1
Th3 0.5000 0.5000 0.5000 1
```



Record 4
Crystalline HoPdSe2 at its relaxed geometry. Source: the Alexandria database, functional PBE-GGA.

## Properties
Raw formation energy ... -967 meV/atom
Density of states at the Fermi level ... 1.17 states/eV/atom
M_tot ... 0.000 μB/atom
Uncorrected energy ... -0.1893 hartree per atom

Geometry as CIF:
```
data_HoPdSe2
_chemical_formula_sum 'Ho1 Pd1 Se2'
_cell_length_a 4.0115
_cell_length_b 4.0115
_cell_length_c 6.7605
_cell_angle_alpha 72.74
_cell_angle_beta 72.74
_cell_angle_gamma 60.00
_space_group_name_H-M_alt 'P 1'
_space_group_IT_number 1
loop_
_space_group_symop_operation_xyz
'x,y,z'
loop_
_atom_site_label
_atom_site_fract_x
_atom_site_fract_y
_atom_site_fract_z
_atom_site_occupancy
Pd1 0.6701 0.6701 0.9898 1
Ho1 0.4986 0.4986 0.5042 1
Se1 0.0765 0.0765 0.7705 1
Se2 0.2548 0.2548 0.2355 1
```



Look up the density of states at the Fermi level of the fourth one.
1.17 states/eV/atom